No. 1
## Tl5Cd2Se5 (PBE)

Data for an optimized crystal structure of Tl5Cd2Se5.

Properties
- ΔE_f (raw): -0.414 eV/atom

Structure (CIF):
```
data_Tl5Cd2Se5
_symmetry_space_group_name_H-M 'C 1 2/m 1'
_symmetry_Int_Tables_number 12
_cell_length_a 14.938
_cell_length_b 4.424
_cell_length_c 11.847
_cell_angle_alpha 90.00
_cell_angle_beta 108.45
_cell_angle_gamma 90.00
loop_
_symmetry_equiv_pos_as_xyz
'x,y,z'
'-x,-y,-z'
'-x,y,-z'
'x,-y,z'
'x+1/2,y+1/2,z'
'-x+1/2,-y+1/2,-z'
'-x+1/2,y+1/2,-z'
'x+1/2,-y+1/2,z'
loop_
_atom_site_label
_atom_site_fract_x
_atom_site_fract_y
_atom_site_fract_z
Tl1 0.000 0.000 0.000
Tl2 0.154 0.000 0.549
Tl3 0.235 0.000 0.845
Cd1 0.036 0.500 0.283
Se1 0.000 0.500 0.500
Se2 0.118 0.500 0.909
Se3 0.140 0.000 0.284
```


No. 2
## LaCeAg (PBE)

Data for an optimized crystal structure of LaCeAg.

Properties
- Electronic total energy: -4.607 eV per atom

Structure (CIF):
```
data_LaCeAg
_symmetry_space_group_name_H-M 'I 4 m m'
_symmetry_Int_Tables_number 107
_symmetry_space_group_name_Hall 'I 4 -2'
_cell_length_a 3.740
_cell_length_b 3.740
_cell_length_c 12.479
_cell_angle_alpha 90.00
_cell_angle_beta 90.00
_cell_angle_gamma 90.00
loop_
_atom_site_label
_atom_site_fract_x
_atom_site_fract_y
_atom_site_fract_z
La1 0.000 0.000 0.000
Ce1 0.000 0.000 0.303
Ag1 0.000 0.000 0.658
```


No. 3
## Sr3LaTh2P6 (PBE)

Data for an optimized crystal structure of Sr3LaTh2P6.

Properties
- Electronic total energy: -6.083 eV per atom

Structure (CIF):
```
data_Sr3LaTh2P6
_symmetry_space_group_name_H-M 'C 1 2/m 1'
_symmetry_Int_Tables_number 12
_cell_length_a 7.434
_cell_length_b 12.879
_cell_length_c 7.454
_cell_angle_alpha 90.00
_cell_angle_beta 109.44
_cell_angle_gamma 90.00
loop_
_symmetry_equiv_pos_as_xyz
'x,y,z'
'-x,-y,-z'
'-x,y,-z'
'x,-y,z'
'x+1/2,y+1/2,z'
'-x+1/2,-y+1/2,-z'
'-x+1/2,y+1/2,-z'
'x+1/2,-y+1/2,z'
loop_
_atom_site_label
_atom_site_fract_x
_atom_site_fract_y
_atom_site_fract_z
Sr1 0.000 0.000 0.000
Sr2 0.000 0.335 0.000
La1 0.000 0.500 0.500
Th1 0.000 0.167 0.500
P1 0.234 0.000 0.727
P2 0.246 0.329 0.727
```


No. 4
## Cs6K3Na2 (PBE)

Data for an optimized crystal structure of Cs6K3Na2.

Properties
- Electronic total energy: -0.934 eV per atom

Structure (CIF):
```
data_Cs6K3Na2
_symmetry_space_group_name_H-M 'I 4/m m m'
_symmetry_Int_Tables_number 139
_symmetry_space_group_name_Hall '-I 4 2'
_cell_length_a 7.888
_cell_length_b 7.888
_cell_length_c 34.021
_cell_angle_alpha 90.00
_cell_angle_beta 90.00
_cell_angle_gamma 90.00
loop_
_atom_site_label
_atom_site_fract_x
_atom_site_fract_y
_atom_site_fract_z
Cs1 0.000 0.000 0.192
Cs2 0.000 0.500 0.083
K1 0.000 0.000 0.329
K2 0.000 0.000 0.500
Na1 0.000 0.000 0.048
```


No. 5
## Pm3UCl2O6 (PBE)

Data for an optimized crystal structure of Pm3UCl2O6.

Properties
- ΔE_f (raw): -2.915 eV/atom

Structure (CIF):
```
data_Pm3UCl2O6
_symmetry_space_group_name_H-M 'C 1 2/m 1'
_symmetry_Int_Tables_number 12
_cell_length_a 12.415
_cell_length_b 6.928
_cell_length_c 5.526
_cell_angle_alpha 90.00
_cell_angle_beta 101.16
_cell_angle_gamma 90.00
loop_
_symmetry_equiv_pos_as_xyz
'x,y,z'
'-x,-y,-z'
'-x,y,-z'
'x,-y,z'
'x+1/2,y+1/2,z'
'-x+1/2,-y+1/2,-z'
'-x+1/2,y+1/2,-z'
'x+1/2,-y+1/2,z'
loop_
_atom_site_label
_atom_site_fract_x
_atom_site_fract_y
_atom_site_fract_z
Pm1 0.000 0.000 0.000
Pm2 0.250 0.250 0.500
U1 0.000 0.500 0.500
Cl1 0.200 0.000 0.849
O1 0.065 0.255 0.296
O2 0.169 0.500 0.664
```


No. 6
## Sc4PtSe2S (PBE)

Data for an optimized crystal structure of Sc4PtSe2S.

Properties
- ΔE_f (raw): -1.528 eV/atom

Structure (CIF):
```
data_Sc4PtSe2S
_symmetry_space_group_name_H-M 'P 1 2/m 1'
_symmetry_Int_Tables_number 10
_cell_length_a 6.693
_cell_length_b 3.773
_cell_length_c 6.729
_cell_angle_alpha 90.00
_cell_angle_beta 108.88
_cell_angle_gamma 90.00
loop_
_symmetry_equiv_pos_as_xyz
'x,y,z'
'-x,-y,-z'
'-x,y,-z'
'x,-y,z'
loop_
_atom_site_label
_atom_site_fract_x
_atom_site_fract_y
_atom_site_fract_z
Sc1 0.233 0.000 0.243
Sc2 0.233 0.500 0.744
Pt1 0.000 0.000 0.500
Se1 0.500 0.000 0.000
Se2 0.500 0.500 0.500
S1 0.000 0.500 0.000
```